No. 1
First-principles (PBE) data for a relaxed Pm2SbPt crystal, as listed in Alexandria.

Its energy relative to the elements, uncorrected is -1012 meV per atom.

It has space group R-3m (No. 166, hexagonal axes), with a = 4.3449 Å, b = 4.3449 Å, c = 21.3356 Å, α = 90.00°, β = 90.00° and γ = 120.00°. The inequivalent atoms are Pm at (0.0000, 0.0000, 0.2421), Sb at (0.0000, 0.0000, 0.0000) and Pt at (0.0000, 0.0000, 0.5000).

=====

No. 2
First-principles (PBE) data for a relaxed PmSbPt2 crystal, as listed in Alexandria.

Its energy relative to the elements, uncorrected is -822 meV per atom.

It has space group R-3m (No. 166, hexagonal axes), with a = 4.5387 Å, b = 4.5387 Å, c = 14.9046 Å, α = 90.00°, β = 90.00° and γ = 120.00°. The inequivalent atoms are Pm at (0.0000, 0.0000, 0.0000), Sb at (0.0000, 0.0000, 0.5000) and Pt at (0.0000, 0.0000, 0.2166).

=====

No. 3
First-principles (PBE) data for a relaxed Pm2ScSb3Pt4 crystal, as listed in Alexandria.

Its energy relative to the elements, uncorrected is -951 meV per atom.

It has space group P-4m2 (No. 115), with a = 4.440 Å, b = 4.440 Å, c = 11.377 Å, α = 90.00°, β = 90.00° and γ = 90.00°. The inequivalent atoms are Pm at (0.000, 0.500, 0.221), Sc at (0.000, 0.000, 0.500), Sb at (0.000, 0.500, 0.865), Sb at (0.500, 0.500, 0.500), Pt at (0.000, 0.000, 0.000), Pt at (0.000, 0.500, 0.637) and Pt at (0.500, 0.500, 0.000).

=====

No. 4
First-principles (PBE) data for a relaxed Pm2SiSbPt6 crystal, as listed in Alexandria.

Its energy relative to the elements, uncorrected is -901 meV per atom.

It has space group Pmmn (No. 59, origin choice 2), with a = 5.573 Å, b = 8.587 Å, c = 8.716 Å, α = 90.00°, β = 90.00° and γ = 90.00°. The inequivalent atoms are Pm at (0.250, 0.008, 0.239), Si at (0.250, 0.750, 0.743), Sb at (0.250, 0.250, 0.783), Pt at (0.002, 0.250, 0.492), Pt at (0.005, 0.750, 0.965) and Pt at (0.250, 0.000, 0.610).